Run 1
This record from the Alexandria database describes BaNp2O6 after structural relaxation. The functional is PBE.

The structure in POSCAR format:
```
BaNp2O6
1.0
5.922 0.000 0.000
-2.961 5.128 0.000
0.000 0.000 5.477
Ba Np O
1 2 6
Cartesian
0.000 0.000 0.000
0.000 3.419 2.738
2.961 1.709 2.738
-1.117 1.934 3.827
-1.844 3.194 1.650
2.234 0.000 3.827
1.117 1.934 1.650
3.688 0.000 1.650
1.844 3.194 3.827
```

Output
For the magnetic moment, the calculation gives 4.0 Bohr magnetons per cell. The density of states at the Fermi level comes out at 15.172 states/eV/f.u. The density comes out at 7.06 g/cm3.


Run 2
This record from the Alexandria database describes BaNp2O6 after structural relaxation. The functional is PBE.

The structure in POSCAR format:
```
BaNp2O6
1.0
0.000 5.491 5.491
5.491 0.000 5.491
5.491 5.491 0.000
Ba Np O
2 4 12
Cartesian
1.373 1.373 1.373
9.610 9.610 9.610
5.491 2.746 2.746
2.746 5.491 2.746
2.746 2.746 5.491
5.491 5.491 5.491
4.118 4.118 1.873
4.118 1.873 4.118
6.364 4.118 4.118
6.864 6.864 4.618
6.864 4.618 6.864
9.110 6.864 6.864
1.873 4.118 4.118
4.118 6.364 4.118
4.118 4.118 6.364
4.618 6.864 6.864
6.864 9.110 6.864
6.864 6.864 9.110
```

Output
For the magnetic moment, the calculation gives 8.0 Bohr magnetons per cell. The density of states at the Fermi level comes out at 10.719 states/eV/f.u. The density comes out at 7.09 g/cm3.


Tell me which of them is the least stable. Sure, it is run 2.


Run 1
This record from the Alexandria database describes BaNpP2O8 after structural relaxation. The functional is PBE.

The structure in POSCAR format:
```
BaNpP2O8
1.0
2.546 1.470 8.070
-2.546 1.470 8.070
0.000 -2.940 8.070
Ba Np P O
1 1 2 8
Cartesian
0.000 0.000 0.000
0.000 0.000 12.105
0.000 0.000 6.010
0.000 0.000 18.200
-1.085 -1.366 10.671
-0.640 -1.623 13.540
0.000 0.000 7.534
-0.640 1.623 10.671
-1.085 1.366 13.540
0.000 0.000 16.676
1.725 -0.257 10.671
1.725 0.257 13.540
```

Output
For the magnetic moment, the calculation gives 3.0 Bohr magnetons per cell. The density of states at the Fermi level comes out at 4.617 states/eV/f.u. The density comes out at 5.17 g/cm3.


Run 2
This record from the Alexandria database describes BaNpP2O8 after structural relaxation. The functional is PBE.

The structure in POSCAR format:
```
BaNpP2O8
1.0
6.389 -2.726 0.000
6.389 2.726 0.000
-2.032 0.000 9.399
Ba Np P O
2 2 4 16
Cartesian
3.194 1.363 0.000
2.178 -1.363 4.699
4.865 1.715 7.049
5.881 -1.715 2.350
4.509 1.302 3.667
7.252 1.302 1.033
3.493 -1.302 8.366
6.236 -1.302 5.732
0.489 0.282 6.582
5.778 1.727 0.870
3.787 1.185 5.047
1.505 -0.282 1.883
5.984 1.727 3.829
3.359 0.084 7.677
5.942 1.185 9.051
4.375 -0.084 2.978
6.370 0.084 6.421
4.803 -1.185 0.348
7.386 -0.084 1.722
4.762 -1.727 5.570
9.240 0.282 7.516
6.958 -1.185 4.352
4.968 -1.727 8.528
10.256 -0.282 2.817
```

Output
For the magnetic moment, the calculation gives 6.0 Bohr magnetons per cell. The density of states at the Fermi level comes out at 2.521 states/eV/f.u. The density comes out at 5.72 g/cm3.


Tell me which of them is the least stable. Sure, it is run 1.


Run 1
This record from the Alexandria database describes BaNpPt2 after structural relaxation. The functional is PBE.

The structure in POSCAR format:
```
BaNpPt2
1.0
2.157 1.245 7.004
-2.157 1.245 7.004
0.000 -2.491 7.004
Ba Np Pt
1 1 2
Cartesian
0.000 0.000 0.000
0.000 0.000 10.507
0.000 0.000 4.820
0.000 0.000 16.193
```

Output
For the magnetic moment, the calculation gives 3.6 Bohr magnetons per cell. The density of states at the Fermi level comes out at 8.915 states/eV/f.u. The density comes out at 11.25 g/cm3.


Run 2
This record from the Alexandria database describes BaNpPt2 after structural relaxation. The functional is PBE.

The structure in POSCAR format:
```
BaNpPt2
1.0
3.624 0.000 0.000
0.000 3.624 0.000
0.000 0.000 7.682
Ba Np Pt
1 1 2
Cartesian
0.000 0.000 0.000
0.000 0.000 3.841
1.812 1.812 2.347
1.812 1.812 5.335
```

Output
For the magnetic moment, the calculation gives 4.1 Bohr magnetons per cell. The density of states at the Fermi level comes out at 12.457 states/eV/f.u. The density comes out at 12.59 g/cm3.


Tell me which of them is the least stable. Sure, it is run 2.


Run 1
This record from the Alexandria database describes Ba2NpS6 after structural relaxation. The functional is PBE.

The structure in POSCAR format:
```
Ba2NpS6
1.0
7.556 0.000 0.000
0.000 7.753 0.000
-3.969 0.000 9.133
Ba Np S
4 2 12
Cartesian
0.158 0.150 2.583
-1.826 3.726 7.149
5.413 4.026 1.984
3.429 7.602 6.551
3.778 0.000 0.000
1.794 3.876 4.567
-2.461 1.188 9.008
-0.476 2.689 4.442
1.128 4.813 2.116
-0.856 6.816 6.683
2.684 5.335 0.789
0.699 6.294 5.356
2.888 1.459 3.778
0.903 2.417 8.344
4.443 0.937 2.450
2.459 2.939 7.017
4.063 5.064 4.692
6.048 6.565 0.125
```

Output
For the magnetic moment, the calculation gives 6.0 Bohr magnetons per cell. The density of states at the Fermi level comes out at 4.076 states/eV/f.u. The density comes out at 4.37 g/cm3.


Run 2
This record from the Alexandria database describes Ba2NpS6 after structural relaxation. The functional is PBE.

The structure in POSCAR format:
```
Ba2NpS6
1.0
0.000 4.920 4.920
4.920 0.000 4.920
4.920 4.920 0.000
Ba Np S
2 1 6
Cartesian
2.460 2.460 2.460
7.381 7.381 7.381
0.000 0.000 0.000
4.920 4.920 2.477
4.920 2.477 4.920
7.364 4.920 4.920
2.477 4.920 4.920
4.920 7.364 4.920
4.920 4.920 7.364
```

Output
For the magnetic moment, the calculation gives 0.0 Bohr magnetons per cell. The density of states at the Fermi level comes out at 5.416 states/eV/f.u. The density comes out at 4.91 g/cm3.


Tell me which of them is the least stable. Sure, it is run 2.